No. 1
Computed, not measured: a relaxed AcGd3Rh crystal at the PBE level of DFT.

Structure (extended XYZ):
```
5
Lattice="-0.140 3.390 4.367 -3.791 -3.238 2.392 4.023 -2.933 2.406" Properties=species:S:1:pos:R:3 pbc="T T T"
Ac 0.046 -1.391 4.582
Gd -0.070 1.695 2.184
Gd 2.012 -1.467 1.203
Gd -1.896 -1.619 1.196
Rh 0.000 0.000 0.000
```

Properties
Space-group type: Pm-3m (221)
Energy of formation in eV per atom: -0.28

No. 2
Computed, not measured: a relaxed GeCl3O crystal at the PBE level of DFT.

Structure (extended XYZ):
```
5
Lattice="4.548 0.000 0.000 0.000 4.548 0.000 0.000 0.000 4.548" Properties=species:S:1:pos:R:3 pbc="T T T"
O 0.000 0.000 0.000
Cl 0.000 0.000 2.274
Cl 0.000 2.274 0.000
Cl 2.274 0.000 0.000
Ge 2.274 2.274 2.274
```

Properties
Space-group type: Pm-3m (221)
ΔE_f (raw) in eV per atom: 0.399

No. 3
Computed, not measured: a relaxed Sc3AsW crystal at the PBE level of DFT.

Structure (extended XYZ):
```
5
Lattice="-1.715 1.225 -4.555 -4.717 -0.470 1.650 -0.024 4.844 1.311" Properties=species:S:1:pos:R:3 pbc="T T T"
Sc -2.358 -0.235 0.825
Sc -0.858 0.612 -2.278
Sc -0.012 2.422 0.656
As -3.228 2.800 -0.797
W 0.000 0.000 0.000
```

Properties
Space-group type: Pm-3m (221)
Energy of formation in eV per atom: 0.53

No. 4
Computed, not measured: a relaxed Nd3IrPd crystal at the PBE level of DFT.

Structure (extended XYZ):
```
10
Lattice="-3.228 2.857 -4.088 -2.902 -5.766 2.338 -1.449 8.522 3.251" Properties=species:S:1:pos:R:3 pbc="T T T"
Ir -4.994 -1.104 -2.057
Ir -2.585 6.717 3.559
Pd -3.613 5.234 -0.761
Pd -3.966 0.379 2.262
Nd -6.253 4.665 0.584
Nd -1.326 0.947 0.917
Nd -3.557 7.775 0.925
Nd -4.022 -2.163 0.576
Nd -2.630 4.304 2.054
Nd -4.949 1.309 -0.553
```

Properties
Space-group type: P-1 (2)
Energy of formation in eV per atom: -0.59

No. 5
Computed, not measured: a relaxed Ac8Ir4Au crystal at the PBE level of DFT.

Structure (extended XYZ):
```
13
Lattice="8.951 0.000 0.000 4.475 7.752 0.000 4.475 2.584 7.308" Properties=species:S:1:pos:R:3 pbc="T T T"
Au 13.426 7.752 5.481
Ac 4.475 2.584 4.289
Ac 4.475 4.905 1.007
Ac 8.951 5.168 1.236
Ac 6.485 1.423 1.007
Ac 6.976 6.308 4.460
Ac 8.951 2.888 4.460
Ac 10.925 6.308 4.460
Ac 2.466 1.423 1.007
Ir 6.687 3.861 2.730
Ir 11.214 3.861 2.730
Ir 8.951 7.782 2.730
Ir 8.951 5.168 6.426
```

Properties
Space-group type: F-43m (216)
Energy of formation in eV per atom: -0.59

No. 6
Computed, not measured: a relaxed EuYTm4 crystal at the PBE level of DFT.

Structure (extended XYZ):
```
6
Lattice="6.607 0.000 0.000 3.303 5.722 0.000 3.303 1.907 5.395" Properties=species:S:1:pos:R:3 pbc="T T T"
Tm 6.607 3.815 0.652
Tm 4.937 4.779 3.379
Tm 8.277 4.779 3.379
Tm 6.607 1.886 3.379
Y 0.000 0.000 0.000
Eu 3.303 1.907 1.349
```

Properties
Space-group type: F-43m (216)
Energy of formation in eV per atom: 0.24

Number 1: spin magnetization 22.7 Bohr magnetons per cell, energy -55.1 eV/cell. Number 2: spin magnetization 0.0 Bohr magnetons per cell, energy -13.1 eV/cell. Number 3: spin magnetization 0.0 Bohr magnetons per cell, energy -34.0 eV/cell. Number 4: spin magnetization 0.0 Bohr magnetons per cell, energy -62.6 eV/cell. Number 5: spin magnetization 0.0 Bohr magnetons per cell, energy -79.2 eV/cell. Number 6: spin magnetization 7.4 Bohr magnetons per cell, energy -33.2 eV/cell.